VASP calculation (PBE-GGA) on Sc3SiNi after structural relaxation.

The structure belongs to space group Pm-3m (No. 221); the cell edges are 4.7587, 4.7587 and 4.7587 Å and the angles 90.00°, 90.00° and 90.00°. The distinct sites, in fractional coordinates, are Sc at (0.0000, 0.0000, 0.5000), Si at (0.5000, 0.5000, 0.5000) and Ni at (0.0000, 0.0000, 0.0000).

The density comes out at 3.42 g/cm³. As for the formation energy without anion corrections: -86.1 meV/atom.


VASP calculation (PBE-GGA) on Li2HfAs2 after structural relaxation.

The structure belongs to space group I4/mmm (No. 139); the cell edges are 3.6086, 3.6086 and 12.8305 Å and the angles 90.00°, 90.00° and 90.00°. The distinct sites, in fractional coordinates, are Li at (0.0000, 0.5000, 0.2500), Hf at (0.0000, 0.0000, 0.0000) and As at (0.0000, 0.0000, 0.3909).

The density comes out at 6.80 g/cm³. The energy of formation is -557 meV per atom.


VASP calculation (PBE-GGA) on MnCo2Ru after structural relaxation.

The structure belongs to space group P4/mmm (No. 123); the cell edges are 3.6106, 3.6106 and 3.6422 Å and the angles 90.00°, 90.00° and 90.00°. The distinct sites, in fractional coordinates, are Mn at (0.0000, 0.0000, 0.0000), Co at (0.0000, 0.5000, 0.5000) and Ru at (0.5000, 0.5000, 0.0000).

The density comes out at 9.58 g/cm³. The energy of formation is 55 meV per atom.


Copy entry 2 word for word.
VASP calculation (PBE-GGA) on Li2HfAs2 after structural relaxation.

The structure belongs to space group I4/mmm (No. 139); the cell edges are 3.6086, 3.6086 and 12.8305 Å and the angles 90.00°, 90.00° and 90.00°. The distinct sites, in fractional coordinates, are Li at (0.0000, 0.5000, 0.2500), Hf at (0.0000, 0.0000, 0.0000) and As at (0.0000, 0.0000, 0.3909).

The density comes out at 6.80 g/cm³. The energy of formation is -557 meV per atom.